(1)
## Ga6NiRu5 (GGA-PBE)

Data for a geometry-optimized Ga6NiRu5 structure.

a = 4.254 Å, b = 6.060 Å, c = 7.390 Å
α = 114.21°, β = 106.73°, γ = 90.00°
Element x y z (fractional)
1 Ni 0.000 0.000 0.000
2 Ga 0.833 0.581 0.665
3 Ga 0.833 0.085 0.665
4 Ga 0.500 0.744 0.000
5 Ga 0.500 0.256 0.000
6 Ga 0.167 0.915 0.335
7 Ga 0.167 0.419 0.335
8 Ru 0.658 0.158 0.315
9 Ru 0.331 0.331 0.661
10 Ru 0.000 0.500 0.000
11 Ru 0.669 0.669 0.339
12 Ru 0.342 0.842 0.685

## Properties
* final energy: -74.38 eV/cell
* energy of formation from the pure elements: -4.060 eV per formula unit
* D(E_F): 0.846 states/eV per atom
* ρ: 9.895 g cm⁻³

(2)
## Sr3TiIr (GGA-PBE)

Data for a geometry-optimized Sr3TiIr structure.

a = 5.790 Å, b = 5.790 Å, c = 5.790 Å
α = 90.00°, β = 90.00°, γ = 90.00°
Each line ends with the local moment (μB).
Element x y z (fractional)
1 Sr 0.000 0.500 0.000  0.01
2 Sr 0.000 0.000 0.500  0.02
3 Sr 0.500 0.000 0.000  0.01
4 Ir 0.000 0.000 0.000  -0.01
5 Ti 0.500 0.500 0.500  -0.14

## Properties
* final energy: -18.99 eV/cell
* energy of formation from the pure elements: 2.808 eV per formula unit
* D(E_F): 2.752 states/eV per atom
* ρ: 4.304 g cm⁻³